# TbTmMg2Au4

A relaxed structure of TbTmMg2Au4 (PBE-GGA, the Alexandria database).

## Properties
**DFT total energy**: -3.959 eV per atom
**Size of the total moment**: 0.000 μB per atom
**SG**: R-3m (166)
**ΔH_f (0 K)**: -0.78 eV/atom

a b c (Å): 4.8968 4.8968 8.4567
angles (deg): 73.17 73.17 60.00
Atoms (fractional coordinates):
Tb (0.0000, 0.0000, 0.0000)
Tm (0.5000, 0.5000, 0.5000)
Mg (0.7504, 0.7504, 0.7489)
Mg (0.2496, 0.2496, 0.2511)
Au (0.3767, 0.3767, 0.8700)
Au (0.8729, 0.8729, 0.3813)
Au (0.1271, 0.1271, 0.6187)
Au (0.6233, 0.6233, 0.1300)

# TbTmMgAu

A relaxed structure of TbTmMgAu (PBE-GGA, the Alexandria database).

## Properties
**DFT total energy**: -3.906 eV per atom
**Size of the total moment**: 0.000 μB per atom
**SG**: F-43m (216)
**ΔH_f (0 K)**: -0.41 eV/atom

a b c (Å): 5.1710 5.1710 5.1710
angles (deg): 60.00 60.00 60.00
Atoms (fractional coordinates):
Tb (0.2500, 0.2500, 0.2500)
Mg (0.0000, 0.0000, 0.0000)
Tm (0.7500, 0.7500, 0.7500)
Au (0.5000, 0.5000, 0.5000)